BaCd3Pb | PBE | relaxed

- formation energy from the elements (eV/atom) = -0.26
- N(E_F) (states/eV/cell) = 6.232
- calculated volume (Å³ per atom) = 30.6
- energy above the lowest structure with this stoichiometry (meV/atom) = 52
- spin magnetization (μB per cell) = 0.00
- symmetry = P4_2/mmc, No. 131

```
data_BaCd3Pb
_chemical_formula_sum 'Ba2 Cd6 Pb2'
_cell_length_a 4.8125
_cell_length_b 4.8125
_cell_length_c 13.2197
_cell_angle_alpha 90.00
_cell_angle_beta 90.00
_cell_angle_gamma 90.00
_space_group_name_H-M_alt 'P 1'
_space_group_IT_number 1
loop_
_space_group_symop_operation_xyz
'x,y,z'
loop_
_atom_site_label
_atom_site_type_symbol
_atom_site_fract_x
_atom_site_fract_y
_atom_site_fract_z
Ba1 Ba 0.0000 0.0000 0.2500
Ba2 Ba 0.0000 0.0000 0.7500
Cd1 Cd 0.0000 0.5000 0.0000
Cd2 Cd 0.5000 0.0000 0.5000
Cd3 Cd 0.5000 0.5000 0.1427
Cd4 Cd 0.5000 0.5000 0.3573
Cd5 Cd 0.5000 0.5000 0.6427
Cd6 Cd 0.5000 0.5000 0.8573
Pb1 Pb 0.0000 0.5000 0.5000
Pb2 Pb 0.5000 0.0000 0.0000
```